1.
# PBE+U Zn2FeSiO, relaxed
# Total DFT energy (no corrections) in eV/cell: -17.42
# Total magnetic moment in μB per formula unit: 2.6
# Symmetry: No. 123
data_Zn2FeSiO
_chemical_formula_sum 'Zn2 Fe1 Si1 O1'
_space_group_name_H-M_alt 'P 1'
_space_group_IT_number 1
_space_group_name_Hall 'P 1'
_cell_length_a 4.3838
_cell_length_b 4.3838
_cell_length_c 3.7696
_cell_angle_alpha 90.00
_cell_angle_beta 90.00
_cell_angle_gamma 90.00
loop_
_atom_site_label
_atom_site_fract_x
_atom_site_fract_y
_atom_site_fract_z
_atom_site_occupancy
Zn1 0.0000 0.5000 0.0000 1
Zn2 0.5000 0.0000 0.0000 1
Fe1 0.0000 0.0000 0.5000 1
Si1 0.5000 0.5000 0.5000 1
O1 0.5000 0.5000 0.0000 1

2.
# PBE+U ZnFeSiO5, relaxed
# Total DFT energy (no corrections) in eV/cell: -101.84
# Total magnetic moment in μB per formula unit: 4.0
# Symmetry: No. 2
data_ZnFeSiO5
_chemical_formula_sum 'Zn2 Fe2 Si2 O10'
_space_group_name_H-M_alt 'P 1'
_space_group_IT_number 1
_space_group_name_Hall 'P 1'
_cell_length_a 5.4714
_cell_length_b 5.4848
_cell_length_c 7.1201
_cell_angle_alpha 108.50
_cell_angle_beta 108.58
_cell_angle_gamma 95.83
loop_
_atom_site_label
_atom_site_fract_x
_atom_site_fract_y
_atom_site_fract_z
_atom_site_occupancy
Zn1 0.1631 0.2909 0.2514 1
Zn2 0.8369 0.7091 0.7486 1
Fe1 0.5000 0.0000 0.0000 1
Fe2 0.5000 0.0000 0.5000 1
Si1 0.1352 0.3392 0.7451 1
Si2 0.8648 0.6608 0.2549 1
O1 0.1914 0.6888 0.3479 1
O2 0.2076 0.6661 0.8550 1
O3 0.2225 0.1970 0.9195 1
O4 0.2492 0.2350 0.5542 1
O5 0.4236 0.0792 0.2506 1
O6 0.5764 0.9208 0.7494 1
O7 0.7508 0.7650 0.4458 1
O8 0.7775 0.8030 0.0805 1
O9 0.7924 0.3339 0.1450 1
O10 0.8086 0.3112 0.6521 1

3.
# PBE+U Sm2FeO5, relaxed
# Total DFT energy (no corrections) in eV/cell: -242.25
# Total magnetic moment in μB per formula unit: 4.0
# Symmetry: No. 62
data_Sm2FeO5
_chemical_formula_sum 'Sm8 Fe4 O20'
_space_group_name_H-M_alt 'P 1'
_space_group_IT_number 1
_space_group_name_Hall 'P 1'
_cell_length_a 10.6704
_cell_length_b 3.8113
_cell_length_c 11.3878
_cell_angle_alpha 90.00
_cell_angle_beta 90.00
_cell_angle_gamma 90.00
loop_
_atom_site_label
_atom_site_fract_x
_atom_site_fract_y
_atom_site_fract_z
_atom_site_occupancy
Sm1 0.0952 0.2500 0.2191 1
Sm2 0.1366 0.2500 0.5587 1
Sm3 0.3634 0.7500 0.0587 1
Sm4 0.4048 0.7500 0.7191 1
Sm5 0.5952 0.2500 0.2809 1
Sm6 0.6366 0.2500 0.9413 1
Sm7 0.8634 0.7500 0.4413 1
Sm8 0.9048 0.7500 0.7809 1
Fe1 0.1916 0.2500 0.8747 1
Fe2 0.3084 0.7500 0.3747 1
Fe3 0.6916 0.2500 0.6253 1
Fe4 0.8084 0.7500 0.1253 1
O1 0.0135 0.7500 0.6010 1
O2 0.0252 0.2500 0.8290 1
O3 0.2172 0.2500 0.0370 1
O4 0.2299 0.7500 0.2263 1
O5 0.2477 0.7500 0.8785 1
O6 0.2523 0.2500 0.3785 1
O7 0.2701 0.2500 0.7263 1
O8 0.2828 0.7500 0.5370 1
O9 0.4748 0.7500 0.3290 1
O10 0.4865 0.2500 0.1010 1
O11 0.5135 0.7500 0.8990 1
O12 0.5252 0.2500 0.6710 1
O13 0.7172 0.2500 0.4630 1
O14 0.7299 0.7500 0.2737 1
O15 0.7477 0.7500 0.6215 1
O16 0.7523 0.2500 0.1215 1
O17 0.7701 0.2500 0.7737 1
O18 0.7828 0.7500 0.9630 1
O19 0.9748 0.7500 0.1710 1
O20 0.9865 0.2500 0.3990 1

4.
# PBE+U Sm2FeO, relaxed
# Total DFT energy (no corrections) in eV/cell: -23.00
# Total magnetic moment in μB per formula unit: 2.9
# Symmetry: No. 166
data_Sm2FeO
_chemical_formula_sum 'Sm2 Fe1 O1'
_space_group_name_H-M_alt 'P 1'
_space_group_IT_number 1
_space_group_name_Hall 'P 1'
_cell_length_a 9.1433
_cell_length_b 9.1433
_cell_length_c 9.1433
_cell_angle_alpha 21.78
_cell_angle_beta 21.78
_cell_angle_gamma 21.78
loop_
_atom_site_label
_atom_site_fract_x
_atom_site_fract_y
_atom_site_fract_z
_atom_site_occupancy
Sm1 0.1136 0.1136 0.1136 1
Sm2 0.8864 0.8864 0.8864 1
Fe1 0.0000 0.0000 0.0000 1
O1 0.5000 0.5000 0.5000 1

5.
# PBE+U Sm3Fe5O12, relaxed
# Total DFT energy (no corrections) in eV/cell: -567.04
# Total magnetic moment in μB per formula unit: 17.0
# Symmetry: No. 230
data_Sm3Fe5O12
_chemical_formula_sum 'Sm12 Fe20 O48'
_space_group_name_H-M_alt 'P 1'
_space_group_IT_number 1
_space_group_name_Hall 'P 1'
_cell_length_a 10.8827
_cell_length_b 10.8827
_cell_length_c 10.8827
_cell_angle_alpha 109.47
_cell_angle_beta 109.47
_cell_angle_gamma 109.47
loop_
_atom_site_label
_atom_site_fract_x
_atom_site_fract_y
_atom_site_fract_z
_atom_site_occupancy
Sm1 0.1250 0.2500 0.3750 1
Sm2 0.1250 0.3750 0.7500 1
Sm3 0.2500 0.3750 0.1250 1
Sm4 0.2500 0.8750 0.6250 1
Sm5 0.3750 0.1250 0.2500 1
Sm6 0.3750 0.7500 0.1250 1
Sm7 0.6250 0.2500 0.8750 1
Sm8 0.6250 0.8750 0.7500 1
Sm9 0.7500 0.1250 0.3750 1
Sm10 0.7500 0.6250 0.8750 1
Sm11 0.8750 0.6250 0.2500 1
Sm12 0.8750 0.7500 0.6250 1
Fe1 0.0000 0.0000 0.0000 1
Fe2 0.0000 0.0000 0.5000 1
Fe3 0.0000 0.5000 0.0000 1
Fe4 0.0000 0.5000 0.5000 1
Fe5 0.1250 0.7500 0.8750 1
Fe6 0.1250 0.8750 0.2500 1
Fe7 0.2500 0.1250 0.8750 1
Fe8 0.2500 0.6250 0.3750 1
Fe9 0.3750 0.2500 0.6250 1
Fe10 0.3750 0.6250 0.7500 1
Fe11 0.5000 0.0000 0.0000 1
Fe12 0.5000 0.0000 0.5000 1
Fe13 0.5000 0.5000 0.0000 1
Fe14 0.5000 0.5000 0.5000 1
Fe15 0.6250 0.3750 0.2500 1
Fe16 0.6250 0.7500 0.3750 1
Fe17 0.7500 0.3750 0.6250 1
Fe18 0.7500 0.8750 0.1250 1
Fe19 0.8750 0.1250 0.7500 1
Fe20 0.8750 0.2500 0.1250 1
O1 0.0261 0.2009 0.1202 1
O2 0.0261 0.3252 0.9059 1
O3 0.0807 0.7009 0.6748 1
O4 0.0807 0.8798 0.4059 1
O5 0.0941 0.6202 0.4193 1
O6 0.0941 0.9739 0.6748 1
O7 0.1202 0.0261 0.2009 1
O8 0.1202 0.5941 0.9193 1
O9 0.1748 0.2009 0.5807 1
O10 0.1748 0.4739 0.5941 1
O11 0.2009 0.1202 0.0261 1
O12 0.2009 0.5807 0.1748 1
O13 0.2991 0.3252 0.9193 1
O14 0.2991 0.4739 0.3798 1
O15 0.3252 0.9059 0.0261 1
O16 0.3252 0.9193 0.2991 1
O17 0.3798 0.2991 0.4739 1
O18 0.3798 0.5807 0.9059 1
O19 0.4059 0.0807 0.8798 1
O20 0.4059 0.8252 0.5261 1
O21 0.4193 0.0941 0.6202 1
O22 0.4193 0.8252 0.7991 1
O23 0.4739 0.3798 0.2991 1
O24 0.4739 0.5941 0.1748 1
O25 0.5261 0.4059 0.8252 1
O26 0.5261 0.6202 0.7009 1
O27 0.5807 0.1748 0.2009 1
O28 0.5807 0.9059 0.3798 1
O29 0.5941 0.1748 0.4739 1
O30 0.5941 0.9193 0.1202 1
O31 0.6202 0.4193 0.0941 1
O32 0.6202 0.7009 0.5261 1
O33 0.6748 0.0807 0.7009 1
O34 0.6748 0.0941 0.9739 1
O35 0.7009 0.5261 0.6202 1
O36 0.7009 0.6748 0.0807 1
O37 0.7991 0.4193 0.8252 1
O38 0.7991 0.8798 0.9739 1
O39 0.8252 0.5261 0.4059 1
O40 0.8252 0.7991 0.4193 1
O41 0.8798 0.4059 0.0807 1
O42 0.8798 0.9739 0.7991 1
O43 0.9059 0.0261 0.3252 1
O44 0.9059 0.3798 0.5807 1
O45 0.9193 0.1202 0.5941 1
O46 0.9193 0.2991 0.3252 1
O47 0.9739 0.6748 0.0941 1
O48 0.9739 0.7991 0.8798 1

6.
# PBE+U Sm3FeO6, relaxed
# Total DFT energy (no corrections) in eV/cell: -158.54
# Total magnetic moment in μB per formula unit: 5.0
# Symmetry: No. 36
data_Sm3FeO6
_chemical_formula_sum 'Sm6 Fe2 O12'
_space_group_name_H-M_alt 'P 1'
_space_group_IT_number 1
_space_group_name_Hall 'P 1'
_cell_length_a 7.3290
_cell_length_b 7.3290
_cell_length_c 5.5986
_cell_angle_alpha 90.00
_cell_angle_beta 90.00
_cell_angle_gamma 102.82
loop_
_atom_site_label
_atom_site_fract_x
_atom_site_fract_y
_atom_site_fract_z
_atom_site_occupancy
Sm1 0.1029 0.8971 0.5000 1
Sm2 0.2008 0.4127 0.5452 1
Sm3 0.4127 0.2008 0.0452 1
Sm4 0.5873 0.7992 0.5452 1
Sm5 0.7992 0.5873 0.0452 1
Sm6 0.8971 0.1029 0.0000 1
Fe1 0.3078 0.6922 0.0765 1
Fe2 0.6922 0.3078 0.5765 1
O1 0.0812 0.6060 0.2519 1
O2 0.1457 0.1743 0.2737 1
O3 0.1743 0.1457 0.7737 1
O4 0.2844 0.7156 0.7390 1
O5 0.3940 0.9188 0.2519 1
O6 0.4599 0.5401 0.2212 1
O7 0.5401 0.4599 0.7212 1
O8 0.6060 0.0812 0.7519 1
O9 0.7156 0.2844 0.2390 1
O10 0.8257 0.8543 0.2737 1
O11 0.8543 0.8257 0.7737 1
O12 0.9188 0.3940 0.7519 1

7.
# PBE+U Sm2FeSnO6, relaxed
# Total DFT energy (no corrections) in eV/cell: -73.51
# Total magnetic moment in μB per formula unit: 4.0
# Symmetry: No. 12
data_Sm2FeSnO6
_chemical_formula_sum 'Sm2 Fe1 Sn1 O6'
_space_group_name_H-M_alt 'P 1'
_space_group_IT_number 1
_space_group_name_Hall 'P 1'
_cell_length_a 5.7790
_cell_length_b 5.7790
_cell_length_c 5.5756
_cell_angle_alpha 118.68
_cell_angle_beta 118.68
_cell_angle_gamma 58.92
loop_
_atom_site_label
_atom_site_fract_x
_atom_site_fract_y
_atom_site_fract_z
_atom_site_occupancy
Sm1 0.2491 0.2491 0.2808 1
Sm2 0.7509 0.7509 0.7192 1
Fe1 0.0000 0.0000 0.5000 1
Sn1 0.5000 0.5000 0.0000 1
O1 0.1777 0.6742 0.6764 1
O2 0.2635 0.2635 0.8882 1
O3 0.3258 0.8223 0.3236 1
O4 0.6742 0.1777 0.6764 1
O5 0.7365 0.7365 0.1118 1
O6 0.8223 0.3258 0.3236 1

8.
# PBE+U SrSmFeSnO6, relaxed
# Total DFT energy (no corrections) in eV/cell: -67.82
# Total magnetic moment in μB per formula unit: 5.0
# Symmetry: No. 216
data_SrSmFeSnO6
_chemical_formula_sum 'Sr1 Sm1 Fe1 Sn1 O6'
_space_group_name_H-M_alt 'P 1'
_space_group_IT_number 1
_space_group_name_Hall 'P 1'
_cell_length_a 5.6757
_cell_length_b 5.6757
_cell_length_c 5.6757
_cell_angle_alpha 60.00
_cell_angle_beta 60.00
_cell_angle_gamma 60.00
loop_
_atom_site_label
_atom_site_fract_x
_atom_site_fract_y
_atom_site_fract_z
_atom_site_occupancy
Sr1 0.0000 0.0000 0.0000 1
Sm1 0.5000 0.5000 0.5000 1
Fe1 0.7500 0.7500 0.7500 1
Sn1 0.2500 0.2500 0.2500 1
O1 0.5032 0.5032 0.9968 1
O2 0.5032 0.9968 0.5032 1
O3 0.5032 0.9968 0.9968 1
O4 0.9968 0.5032 0.5032 1
O5 0.9968 0.5032 0.9968 1
O6 0.9968 0.9968 0.5032 1

9.
# PBE+U SrSmFeO4, relaxed
# Total DFT energy (no corrections) in eV/cell: -48.17
# Total magnetic moment in μB per formula unit: 1.0
# Symmetry: No. 107
data_SrSmFeO4
_chemical_formula_sum 'Sr1 Sm1 Fe1 O4'
_space_group_name_H-M_alt 'P 1'
_space_group_IT_number 1
_space_group_name_Hall 'P 1'
_cell_length_a 6.7490
_cell_length_b 6.7490
_cell_length_c 6.7490
_cell_angle_alpha 147.42
_cell_angle_beta 147.42
_cell_angle_gamma 46.74
loop_
_atom_site_label
_atom_site_fract_x
_atom_site_fract_y
_atom_site_fract_z
_atom_site_occupancy
Sr1 0.0000 0.0000 0.0000 1
Sm1 0.7155 0.7155 0.0000 1
Fe1 0.3589 0.3589 0.0000 1
O1 0.1940 0.1940 0.0000 1
O2 0.3448 0.8448 0.5000 1
O3 0.5283 0.5283 0.0000 1
O4 0.8448 0.3448 0.5000 1

10.
# PBE+U SrSmFe2O5, relaxed
# Total DFT energy (no corrections) in eV/cell: -62.89
# Total magnetic moment in μB per formula unit: 9.0
# Symmetry: No. 123
data_SrSmFe2O5
_chemical_formula_sum 'Sr1 Sm1 Fe2 O5'
_space_group_name_H-M_alt 'P 1'
_space_group_IT_number 1
_space_group_name_Hall 'P 1'
_cell_length_a 3.9657
_cell_length_b 3.9657
_cell_length_c 7.5816
_cell_angle_alpha 90.00
_cell_angle_beta 90.00
_cell_angle_gamma 90.00
loop_
_atom_site_label
_atom_site_fract_x
_atom_site_fract_y
_atom_site_fract_z
_atom_site_occupancy
Sr1 0.0000 0.0000 0.0000 1
Sm1 0.0000 0.0000 0.5000 1
Fe1 0.5000 0.5000 0.2635 1
Fe2 0.5000 0.5000 0.7365 1
O1 0.0000 0.5000 0.3050 1
O2 0.0000 0.5000 0.6950 1
O3 0.5000 0.0000 0.3050 1
O4 0.5000 0.0000 0.6950 1
O5 0.5000 0.5000 0.0000 1

11.
# PBE+U SmTiFe2O6, relaxed
# Total DFT energy (no corrections) in eV/cell: -76.00
# Total magnetic moment in μB per formula unit: 5.0
# Symmetry: No. 1
data_SmTiFe2O6
_chemical_formula_sum 'Sm1 Ti1 Fe2 O6'
_space_group_name_H-M_alt 'P 1'
_space_group_IT_number 1
_space_group_name_Hall 'P 1'
_cell_length_a 5.2497
_cell_length_b 5.2505
_cell_length_c 5.6567
_cell_angle_alpha 63.33
_cell_angle_beta 62.56
_cell_angle_gamma 60.05
loop_
_atom_site_label
_atom_site_fract_x
_atom_site_fract_y
_atom_site_fract_z
_atom_site_occupancy
Sm1 0.0000 0.0000 0.0000 1
Ti1 0.4756 0.4753 0.5648 1
Fe1 0.2650 0.2703 0.1855 1
Fe2 0.7865 0.7819 0.6398 1
O1 0.0627 0.4474 0.8473 1
O2 0.1832 0.8497 0.3955 1
O3 0.4464 0.6324 0.8509 1
O4 0.5681 0.1783 0.3932 1
O5 0.6246 0.0670 0.8588 1
O6 0.8585 0.5550 0.3907 1

12.
# PBE+U SmZrFe2O6, relaxed
# Total DFT energy (no corrections) in eV/cell: -78.15
# Total magnetic moment in μB per formula unit: 6.9
# Symmetry: No. 1
data_SmZrFe2O6
_chemical_formula_sum 'Sm1 Zr1 Fe2 O6'
_space_group_name_H-M_alt 'P 1'
_space_group_IT_number 1
_space_group_name_Hall 'P 1'
_cell_length_a 5.4008
_cell_length_b 5.4391
_cell_length_c 5.7193
_cell_angle_alpha 62.74
_cell_angle_beta 62.92
_cell_angle_gamma 61.01
loop_
_atom_site_label
_atom_site_fract_x
_atom_site_fract_y
_atom_site_fract_z
_atom_site_occupancy
Sm1 0.0000 0.0000 0.0000 1
Zr1 0.5068 0.5185 0.4581 1
Fe1 0.2137 0.2150 0.3537 1
Fe2 0.7154 0.7251 0.8267 1
O1 0.1137 0.8409 0.6091 1
O2 0.3426 0.5560 0.1517 1
O3 0.4181 0.1276 0.6168 1
O4 0.5665 0.9238 0.1341 1
O5 0.8053 0.4396 0.6387 1
O6 0.9286 0.3561 0.1540 1